This record from Alexandria via LeMat-Bulk describes a geometry-optimized ReRh2W structure. The functional is PBEsol.

a = 3.8122 Å, b = 3.8122 Å, c = 4.7411 Å
α = 113.71°, β = 113.71°, γ = 90.00°
With the nearest neighbours (Å) after each atom.
Fractional coordinates of all 4 atoms:
Rh  0.2500  0.7500  0.5000  4 Rh 2.70, 4 W 2.73, 4 Re 2.73
Rh  0.7500  0.2500  0.5000  4 Rh 2.70, 4 Re 2.73, 4 W 2.73
Re  0.5000  0.5000  0.0000  4 W 2.70, 8 Rh 2.73
W  0.0000  0.0000  0.0000  4 Re 2.70, 8 Rh 2.73

Calculated values
The value obtained for the energy is -44.04 eV per formula unit. For the energy of formation, the calculation gives -0.625 eV/f.u.


This record from Alexandria via LeMat-Bulk describes a geometry-optimized Tl2SnHgTe4 structure. The functional is PBEsol.

a = 6.8805 Å, b = 6.8805 Å, c = 6.8805 Å
α = 105.38°, β = 105.38°, γ = 118.00°
With the nearest neighbours (Å) after each atom.
Fractional coordinates of all 8 atoms:
Tl  0.0000  0.5000  0.5000  8 Te 3.49-3.55, 2 Tl 3.54
Tl  0.5000  0.0000  0.5000  8 Te 3.49-3.55, 2 Tl 3.54
Te  0.0547  0.4302  0.0000  1 Sn 2.80, 1 Hg 2.87
Te  0.4302  0.0547  0.0000  1 Sn 2.80, 1 Hg 2.87
Te  0.9453  0.9453  0.3755  1 Sn 2.80, 1 Hg 2.87
Te  0.5698  0.5698  0.6245  1 Sn 2.80, 1 Hg 2.87
Sn  0.0000  0.0000  0.0000  4 Te 2.80
Hg  0.5000  0.5000  0.0000  4 Te 2.87

Calculated values
The raw formation energy comes out at -0.2016 eV per atom. The value obtained for the energy is -25.80 eV per formula unit.


This record from Alexandria via LeMat-Bulk describes a geometry-optimized KSbIr2 structure. The functional is PBEsol.

a = 2.8174 Å, b = 5.3199 Å, c = 5.7233 Å
α = 117.65°, β = 104.17°, γ = 90.17°
With the nearest neighbours (Å) after each atom.
Fractional coordinates of all 4 atoms:
Ir  0.0000  0.0000  0.5000  6 Ir 2.82-3.01, 2 K 2.86, 2 Sb 2.86
Ir  0.5000  0.5000  0.5000  6 Ir 2.82-3.01, 2 Sb 2.86, 2 K 2.86
K  0.5000  0.0000  0.0000  2 K 2.82, 4 Ir 2.86, 4 Sb 3.01
Sb  0.0000  0.5000  0.0000  2 Sb 2.82, 4 Ir 2.86, 4 K 3.01

Calculated values
The raw formation energy comes out at 0.8246 eV per atom. The value obtained for the energy is -22.04 eV per formula unit.


This record from Alexandria via LeMat-Bulk describes a geometry-optimized BaScCo structure. The functional is PBEsol.

a = 4.5927 Å, b = 4.5927 Å, c = 4.5927 Å
α = 60.00°, β = 60.00°, γ = 60.00°
With the nearest neighbours (Å) after each atom.
Fractional coordinates of all 3 atoms:
Ba  0.2500  0.2500  0.2500  4 Co 2.81, 4 Sc 2.81
Sc  0.5000  0.5000  0.5000  4 Ba 2.81
Co  0.0000  0.0000  0.0000  4 Ba 2.81

Calculated values
The value obtained for the energy is -12.72 eV per formula unit. For the energy of formation, the calculation gives 3.772 eV/f.u.


This record from Alexandria via LeMat-Bulk describes a geometry-optimized CoSbP2 structure. The functional is PBEsol.

a = 4.4142 Å, b = 4.4142 Å, c = 4.4142 Å
α = 60.00°, β = 60.00°, γ = 60.00°
With the nearest neighbours (Å) after each atom.
Fractional coordinates of all 4 atoms:
P  0.7500  0.7500  0.7500  4 P 2.70, 4 Co 2.70
P  0.0000  0.0000  0.0000  4 P 2.70, 4 Sb 2.70
Co  0.5000  0.5000  0.5000  4 Sb 2.70, 4 P 2.70
Sb  0.2500  0.2500  0.2500  4 Co 2.70, 4 P 2.70

Calculated values
The raw formation energy comes out at 0.5549 eV per atom. The value obtained for the energy is -21.66 eV per formula unit.


This record from Alexandria via LeMat-Bulk describes a geometry-optimized Bi2TeOsCl structure. The functional is PBEsol.

a = 5.0353 Å, b = 5.3766 Å, c = 5.3766 Å
α = 90.00°, β = 90.00°, γ = 90.00°
With the nearest neighbours (Å) after each atom.
Fractional coordinates of all 5 atoms:
Bi  0.0000  0.0000  0.5000  2 Os 2.69
Bi  0.0000  0.5000  0.0000  2 Os 2.69
Te  0.5000  0.0000  0.0000  2 Os 2.52
Os  0.0000  0.0000  0.0000  2 Te 2.52, 4 Bi 2.69
Cl  0.5000  0.5000  0.5000  8 Bi 3.68, 4 Te 3.80

Calculated values
The raw formation energy comes out at 0.5520 eV per atom. The value obtained for the energy is -23.56 eV per formula unit.


This record from Alexandria via LeMat-Bulk describes a geometry-optimized CrSb2CI structure. The functional is PBEsol.

a = 4.7606 Å, b = 4.7606 Å, c = 4.6731 Å
α = 90.00°, β = 90.00°, γ = 90.00°
With the nearest neighbours (Å) after each atom.
Fractional coordinates of all 5 atoms:
C  0.0000  0.0000  0.0000  2 I 2.34, 4 Sb 2.38
Cr  0.5000  0.5000  0.5000  8 Sb 3.34, 4 I 3.37
I  0.0000  0.0000  0.5000  2 C 2.34
Sb  0.5000  0.0000  0.0000  2 C 2.38
Sb  0.0000  0.5000  0.0000  2 C 2.38

Calculated values
The raw formation energy comes out at 1.2869 eV per atom. The value obtained for the energy is -24.33 eV per formula unit.


This record from Alexandria via LeMat-Bulk describes a geometry-optimized K2CdP structure. The functional is PBEsol.

a = 5.4489 Å, b = 5.4489 Å, c = 5.4489 Å
α = 60.00°, β = 60.00°, γ = 60.00°
With the nearest neighbours (Å) after each atom.
Fractional coordinates of all 4 atoms:
P  0.5000  0.5000  0.5000  8 K 3.34
K  0.2500  0.2500  0.2500  4 P 3.34, 4 Cd 3.34
K  0.7500  0.7500  0.7500  4 Cd 3.34, 4 P 3.34
Cd  0.0000  0.0000  0.0000  8 K 3.34

Calculated values
The value obtained for the energy is -8.89 eV per formula unit. For the energy of formation, the calculation gives 0.360 eV/f.u.